No. 1
Below is crystalline V2PbC at its relaxed geometry, with properties calculated at the GGA-PBE level.

Output
space-group type: I-42d, No. 122
magnetic moment: 0.01 μB per formula unit
ΔH_f (0 K): 42 kJ per mole of atoms

Unit cell a=6.3572 b=6.3572 c=6.0855 alpha=90.00 beta=90.00 gamma=90.00
Atoms (fractional coordinates):
V 0.1389 0.7500 0.1250
V 0.2500 0.1389 0.8750
V 0.2500 0.3611 0.3750
V 0.3611 0.7500 0.6250
V 0.6389 0.2500 0.6250
V 0.7500 0.6389 0.3750
V 0.7500 0.8611 0.8750
V 0.8611 0.2500 0.1250
Pb 0.0000 0.0000 0.5000
Pb 0.0000 0.5000 0.7500
Pb 0.5000 0.0000 0.2500
Pb 0.5000 0.5000 0.0000
C 0.0000 0.0000 0.0000
C 0.0000 0.5000 0.2500
C 0.5000 0.0000 0.7500
C 0.5000 0.5000 0.5000

No. 2
Below is crystalline VPbC at its relaxed geometry, with properties calculated at the GGA-PBE level.

Output
space-group type: Pbcm, No. 57
magnetic moment: 0.00 μB per formula unit
ΔH_f (0 K): 20 kJ per mole of atoms

Unit cell a=8.9910 b=6.5538 c=3.9989 alpha=90.00 beta=90.00 gamma=90.00
Atoms (fractional coordinates):
V 0.0731 0.1076 0.2500
V 0.0731 0.3924 0.7500
V 0.9269 0.6076 0.2500
V 0.9269 0.8924 0.7500
Pb 0.3675 0.5481 0.7500
Pb 0.3675 0.9519 0.2500
Pb 0.6325 0.0481 0.7500
Pb 0.6325 0.4519 0.2500
C 0.0893 0.0924 0.7500
C 0.0893 0.4076 0.2500
C 0.9107 0.5924 0.7500
C 0.9107 0.9076 0.2500

No. 3
Below is crystalline Y2VPbC at its relaxed geometry, with properties calculated at the GGA-PBE level.

Output
space-group type: P4/mmm, No. 123
magnetic moment: 2.13 μB per formula unit
ΔH_f (0 K): -34 kJ per mole of atoms

Unit cell a=4.9996 b=4.9996 c=4.1508 alpha=90.00 beta=90.00 gamma=90.00
Atoms (fractional coordinates):
Y 0.0000 0.5000 0.0000
Y 0.5000 0.0000 0.0000
V 0.0000 0.0000 0.5000
Pb 0.5000 0.5000 0.5000
C 0.0000 0.0000 0.0000

No. 4
Below is crystalline ZrV2PbC at its relaxed geometry, with properties calculated at the GGA-PBE level.

Output
space-group type: P4/mmm, No. 123
magnetic moment: 4.42 μB per formula unit
ΔH_f (0 K): 252 kJ per mole of atoms

Unit cell a=4.7568 b=4.7568 c=5.5997 alpha=90.00 beta=90.00 gamma=90.00
Atoms (fractional coordinates):
Zr 0.0000 0.0000 0.0000
V 0.0000 0.5000 0.0000
V 0.5000 0.0000 0.0000
Pb 0.0000 0.0000 0.5000
C 0.5000 0.5000 0.5000

No. 5
Below is crystalline PbWC3 at its relaxed geometry, with properties calculated at the GGA-PBE level.

Output
space-group type: Pm-3m, No. 221
magnetic moment: 0.00 μB per formula unit
energy relative to the lowest polymorph listed for this composition: 0.0000 eV/atom
ΔH_f (0 K): 155 kJ per mole of atoms

Unit cell a=4.1901 b=4.1901 c=4.1901 alpha=90.00 beta=90.00 gamma=90.00
Atoms (fractional coordinates):
Pb 0.0000 0.0000 0.0000
W 0.5000 0.5000 0.5000
C 0.0000 0.5000 0.5000
C 0.5000 0.0000 0.5000
C 0.5000 0.5000 0.0000

No. 6
Below is crystalline PbW3C at its relaxed geometry, with properties calculated at the GGA-PBE level.

Output
space-group type: Pm-3m, No. 221
magnetic moment: 0.00 μB per formula unit
ΔH_f (0 K): 66 kJ per mole of atoms

Unit cell a=4.2686 b=4.2686 c=4.2686 alpha=90.00 beta=90.00 gamma=90.00
Atoms (fractional coordinates):
Pb 0.0000 0.0000 0.0000
W 0.0000 0.5000 0.5000
W 0.5000 0.0000 0.5000
W 0.5000 0.5000 0.0000
C 0.5000 0.5000 0.5000